Computed, not measured: LiMn5 after structural relaxation at the PBE level of DFT. Values from VASP.

Computed properties:
**Total DFT energy (no corrections)**: -92.87 eV for the cell shown
**DOS at the Fermi energy**: 1.31 states/eV per atom
**Energy above the most stable polymorph in this dataset**: 0 meV per atom
**Formation enthalpy at 0 K**: 1.3 eV/f.u.

The structure in Quantum ESPRESSO input format:
```
&SYSTEM
  ibrav = 0, nat = 12, ntyp = 2
/
ATOMIC_SPECIES
Li 6.94 Li.upf
Mn 54.94 Mn.upf
CELL_PARAMETERS angstrom
8.9204 0.0000 0.0000
0.0000 2.7626 0.0000
-1.7366 0.0000 5.2956
ATOMIC_POSITIONS crystal
Li 0.0000 0.0000 0.0000
Li 0.5000 0.5000 0.0000
Mn 0.0000 0.0000 0.5000
Mn 0.1752 0.5000 0.3400
Mn 0.1755 0.5000 0.8388
Mn 0.3245 0.0000 0.1612
Mn 0.3248 0.0000 0.6600
Mn 0.5000 0.5000 0.5000
Mn 0.6752 0.0000 0.3400
Mn 0.6755 0.0000 0.8388
Mn 0.8245 0.5000 0.1612
Mn 0.8248 0.5000 0.6600
```